Entry 1:
Here is a relaxed Mg3CdIn3Pd2 crystal from the Alexandria database. Energies are from PBE.

Cell: 8.043 8.043 3.261 Å, 90.00 90.00 120.00°
Element x y z (fractional)
1 Mg 0.000 0.619 0.000
2 Mg 0.381 0.381 0.000
3 Mg 0.619 0.000 0.000
4 Cd 0.000 0.000 0.000
5 In 0.000 0.309 0.500
6 In 0.309 0.000 0.500
7 In 0.691 0.691 0.500
8 Pd 0.333 0.667 0.500
9 Pd 0.667 0.333 0.500

Output
The total magnetization is 0.00 Bohr magnetons per cell. The electronic total energy comes out at -3.012 eV per atom. Its symmetry is P-62m (189).

Entry 2:
Here is a relaxed Mg2CdIn2Pd2 crystal from the Alexandria database. Energies are from PBE.

Cell: 5.216 5.216 7.458 Å, 110.61 110.61 50.48°
Element x y z (fractional)
1 Mg 0.228 0.228 0.304
2 Mg 0.772 0.772 0.696
3 Cd 0.000 0.000 0.500
4 In 0.496 0.496 0.197
5 In 0.504 0.504 0.803
6 Pd 0.221 0.221 0.866
7 Pd 0.779 0.779 0.134

Output
The total magnetization is 0.00 Bohr magnetons per cell. The electronic total energy comes out at -3.188 eV per atom. Its symmetry is C2/m (12).

Entry 3:
Here is a relaxed Mg2Cd2InPd5 crystal from the Alexandria database. Energies are from PBE.

Cell: 9.677 9.677 3.820 Å, 90.00 90.00 90.00°
Element x y z (fractional)
1 Mg 0.128 0.372 0.000
2 Mg 0.372 0.872 0.000
3 Mg 0.628 0.128 0.000
4 Mg 0.872 0.628 0.000
5 Cd 0.168 0.668 0.000
6 Cd 0.332 0.168 0.000
7 Cd 0.668 0.832 0.000
8 Cd 0.832 0.332 0.000
9 In 0.000 0.000 0.000
10 In 0.500 0.500 0.000
11 Pd 0.000 0.500 0.500
12 Pd 0.097 0.187 0.500
13 Pd 0.187 0.903 0.500
14 Pd 0.313 0.403 0.500
15 Pd 0.403 0.687 0.500
16 Pd 0.500 0.000 0.500
17 Pd 0.597 0.313 0.500
18 Pd 0.687 0.597 0.500
19 Pd 0.813 0.097 0.500
20 Pd 0.903 0.813 0.500

Output
The total magnetization is 0.00 Bohr magnetons per cell. The electronic total energy comes out at -3.769 eV per atom. Its symmetry is P4/mbm (127).

Entry 4:
Here is a relaxed Mg2Cd2InPd2 crystal from the Alexandria database. Energies are from PBE.

Cell: 4.908 4.908 8.143 Å, 115.81 115.81 58.68°
Element x y z (fractional)
1 Mg 0.013 0.013 0.199
2 Mg 0.987 0.987 0.801
3 Cd 0.304 0.304 0.770
4 Cd 0.696 0.696 0.230
5 In 0.500 0.500 0.500
6 Pd 0.314 0.314 0.130
7 Pd 0.686 0.686 0.870

Output
The total magnetization is 0.00 Bohr magnetons per cell. The electronic total energy comes out at -2.936 eV per atom. Its symmetry is C2/m (12).

Number 1: formation energy from the elements -0.312 eV per atom. Number 2: formation energy from the elements -0.336 eV per atom. Number 3: formation energy from the elements -0.396 eV per atom. Number 4: formation energy from the elements -0.344 eV per atom.